This record from the Alexandria database describes an optimized crystal structure of La5Er4Cd4. The functional is PBE.

ΔE_f in eV/atom: -0.1616
E_tot in eV/atom: -3.742
Fermi-level density of states in states/eV/atom: 1.092
Symmetry: I4/m, No. 87

Structure (POSCAR):
```
La5Er4Cd4
1.0
-6.2457 6.2457 2.6191
6.2457 -6.2457 2.6191
6.2457 6.2457 -2.6191
La Er Cd
5 4 4
Direct
0.0000 0.0000 0.0000 La
0.3131 0.6134 0.9265 La
0.3866 0.3131 0.6997 La
0.6134 0.6869 0.3003 La
0.6869 0.3866 0.0735 La
0.0959 0.4012 0.4970 Er
0.4012 0.9041 0.3053 Er
0.5988 0.0959 0.6947 Er
0.9041 0.5988 0.5030 Er
0.0917 0.7545 0.8462 Cd
0.2455 0.0917 0.3371 Cd
0.7545 0.9083 0.6629 Cd
0.9083 0.2455 0.1538 Cd
```

This record from the Alexandria database describes an optimized crystal structure of Er3Mg2Sc2. The functional is PBE.

ΔE_f in eV/atom: 0.0117
E_tot in eV/atom: -4.208
Fermi-level density of states in states/eV/atom: 1.124
Symmetry: Cmmm, No. 65

Structure (POSCAR):
```
Er3Mg2Sc2
1.0
2.5204 -11.1193 0.0000
2.5204 11.1193 0.0000
0.0000 0.0000 3.3715
Er Mg Sc
3 2 2
Direct
0.0000 0.0000 0.0000 Er
0.1540 0.8460 0.0000 Er
0.8460 0.1540 0.0000 Er
0.4279 0.5721 0.5000 Mg
0.5721 0.4279 0.5000 Mg
0.2853 0.7147 0.5000 Sc
0.7147 0.2853 0.5000 Sc
```

This record from the Alexandria database describes an optimized crystal structure of CdGe2Os2. The functional is PBE.

ΔE_f in eV/atom: 0.2230
E_tot in eV/atom: -6.299
Fermi-level density of states in states/eV/atom: 0.443
Symmetry: P4/mbm, No. 127

Structure (POSCAR):
```
CdGe2Os2
1.0
7.3233 0.0000 0.0000
0.0000 7.3233 0.0000
0.0000 0.0000 2.9984
Cd Ge Os
2 4 4
Direct
0.0000 0.0000 0.0000 Cd
0.5000 0.5000 0.0000 Cd
0.1496 0.3504 0.5000 Ge
0.3504 0.8504 0.5000 Ge
0.6496 0.1496 0.5000 Ge
0.8504 0.6496 0.5000 Ge
0.1456 0.6456 0.0000 Os
0.3544 0.1456 0.0000 Os
0.6456 0.8544 0.0000 Os
0.8544 0.3544 0.0000 Os
```

This record from the Alexandria database describes an optimized crystal structure of Dy2In2Hg. The functional is PBE.

E above lowest polymorph in meV per atom: 22
ΔE_f in eV/atom: -0.4126
E_tot in eV/atom: -3.409
Fermi-level density of states in states/eV/atom: 0.720
Symmetry: C2/m, No. 12

Structure (POSCAR):
```
Dy2In2Hg
1.0
5.6560 -2.3597 0.0000
5.6560 2.3597 0.0000
-4.6875 0.0000 9.8900
Dy In Hg
4 4 2
Direct
0.0082 0.0082 0.3250 Dy
0.1753 0.1753 0.0982 Dy
0.8247 0.8247 0.9018 Dy
0.9918 0.9918 0.6750 Dy
0.3582 0.3582 0.4422 In
0.4591 0.4591 0.1113 In
0.5409 0.5409 0.8887 In
0.6418 0.6418 0.5578 In
0.2791 0.2791 0.6798 Hg
0.7209 0.7209 0.3202 Hg
```

This record from the Alexandria database describes an optimized crystal structure of Ba2SmInHg6. The functional is PBE.

ΔE_f in eV/atom: -0.1915
E_tot in eV/atom: -1.503
Fermi-level density of states in states/eV/atom: 1.366
Symmetry: Fm-3m, No. 225

Structure (POSCAR):
```
Ba2SmInHg6
1.0
0.0000 5.7380 5.7380
5.7380 0.0000 5.7380
5.7380 5.7380 0.0000
Ba Sm In Hg
2 1 1 6
Direct
0.2500 0.2500 0.2500 Ba
0.7500 0.7500 0.7500 Ba
0.0000 0.0000 0.0000 Sm
0.5000 0.5000 0.5000 In
0.2557 0.2557 0.7443 Hg
0.2557 0.7443 0.2557 Hg
0.2557 0.7443 0.7443 Hg
0.7443 0.2557 0.2557 Hg
0.7443 0.2557 0.7443 Hg
0.7443 0.7443 0.2557 Hg
```

This record from the Alexandria database describes an optimized crystal structure of TiBeGe. The functional is PBE.

ΔE_f in eV/atom: -0.4285
E_tot in eV/atom: -5.841
Fermi-level density of states in states/eV/atom: 0.084
Symmetry: P-6m2, No. 187

Structure (POSCAR):
```
TiBeGe
1.0
3.7330 0.0000 0.0000
-1.8665 3.2329 0.0000
0.0000 0.0000 3.3530
Ti Be Ge
1 1 1
Direct
0.0000 0.0000 0.0000 Ti
0.6667 0.3333 0.5000 Be
0.3333 0.6667 0.5000 Ge
```

This record from the Alexandria database describes an optimized crystal structure of Er3Mg6Sc2. The functional is PBE.

ΔE_f in eV/atom: 0.1738
E_tot in eV/atom: -3.092
Fermi-level density of states in states/eV/atom: 1.291
Symmetry: I4/mmm, No. 139

Structure (POSCAR):
```
Er3Mg6Sc2
1.0
-2.1874 2.1874 15.4146
2.1874 -2.1874 15.4146
2.1874 2.1874 -15.4146
Er Mg Sc
3 6 2
Direct
0.0000 0.0000 0.0000 Er
0.2130 0.2130 0.0000 Er
0.7870 0.7870 0.0000 Er
0.1163 0.6163 0.5000 Mg
0.3172 0.3172 0.0000 Mg
0.3837 0.8837 0.5000 Mg
0.6163 0.1163 0.5000 Mg
0.6828 0.6828 0.0000 Mg
0.8837 0.3837 0.5000 Mg
0.4537 0.4537 0.0000 Sc
0.5463 0.5463 0.0000 Sc
```

This record from the Alexandria database describes an optimized crystal structure of Tm12MnSb6. The functional is PBE.

Formation energy (no corrections) in eV per atom: -0.515
E_tot in eV/atom: -5.123
Fermi-level density of states in states/eV/atom: 0.682
Symmetry: R-3, No. 148

Structure (POSCAR):
```
Tm12MnSb6
1.0
6.4048 3.6978 3.9507
-6.4048 3.6978 3.9507
0.0000 -7.3957 3.9507
Tm Mn Sb
12 1 6
Direct
0.0038 0.6930 0.9475 Tm
0.0525 0.9962 0.3070 Tm
0.2005 0.4137 0.5445 Tm
0.3070 0.0525 0.9962 Tm
0.4137 0.5445 0.2005 Tm
0.4555 0.7995 0.5863 Tm
0.5445 0.2005 0.4137 Tm
0.5863 0.4555 0.7995 Tm
0.6930 0.9475 0.0038 Tm
0.7995 0.5863 0.4555 Tm
0.9475 0.0038 0.6930 Tm
0.9962 0.3070 0.0525 Tm
0.0000 0.0000 0.0000 Mn
0.1178 0.6487 0.3197 Sb
0.3197 0.1178 0.6487 Sb
0.3513 0.6803 0.8822 Sb
0.6487 0.3197 0.1178 Sb
0.6803 0.8822 0.3513 Sb
0.8822 0.3513 0.6803 Sb
```

This record from the Alexandria database describes an optimized crystal structure of LiTlH2Br. The functional is PBE.

E above lowest polymorph in meV per atom: 0
E_tot in eV/atom: -3.007
Fermi-level density of states in states/eV/atom: 0.177
Symmetry: P1, No. 1

Structure (POSCAR):
```
LiTlH2Br
1.0
3.9217 0.0000 0.0000
1.9498 3.4154 0.0000
0.0377 0.0154 8.6914
Li Tl H Br
1 1 2 1
Direct
0.0000 0.0000 0.0000 Li
0.6684 0.6655 0.7195 Tl
0.3452 0.3333 0.4537 H
0.3551 0.3401 0.3671 H
0.6662 0.6643 0.0941 Br
```

This record from the Alexandria database describes an optimized crystal structure of Sc8Bi2Ir. The functional is PBE.

ΔE_f in eV/atom: -0.4146
E_tot in eV/atom: -6.531
Fermi-level density of states in states/eV/atom: 1.067
Symmetry: C2/m, No. 12

Structure (POSCAR):
```
Sc8Bi2Ir
1.0
9.2736 -2.3685 0.0000
9.2736 2.3685 0.0000
-1.8281 0.0000 5.9323
Sc Bi Ir
8 2 1
Direct
0.0192 0.0192 0.2885 Sc
0.2229 0.2229 0.8328 Sc
0.3568 0.3568 0.4724 Sc
0.4138 0.4138 0.0376 Sc
0.5862 0.5862 0.9624 Sc
0.6432 0.6432 0.5276 Sc
0.7771 0.7771 0.1672 Sc
0.9808 0.9808 0.7115 Sc
0.1791 0.1791 0.2630 Bi
0.8209 0.8209 0.7370 Bi
0.5000 0.5000 0.5000 Ir
```

This record from the Alexandria database describes an optimized crystal structure of KErAgTe2. The functional is PBE.

Formation energy (no corrections) in eV per atom: -0.797
E_tot in eV/atom: -3.756
Fermi-level density of states in states/eV/atom: 0.378
Symmetry: P2/c, No. 13

Structure (POSCAR):
```
KErAgTe2
1.0
8.2688 0.0000 0.0000
0.0000 4.8232 0.0000
-0.6603 0.0000 8.5490
K Er Ag Te
2 2 2 4
Direct
0.0000 0.0715 0.2500 K
0.0000 0.9285 0.7500 K
0.5000 0.4976 0.7500 Er
0.5000 0.5024 0.2500 Er
0.5000 0.0000 0.0000 Ag
0.5000 0.0000 0.5000 Ag
0.2482 0.4046 0.9820 Te
0.2482 0.5954 0.4820 Te
0.7518 0.4046 0.5180 Te
0.7518 0.5954 0.0180 Te
```

This record from the Alexandria database describes an optimized crystal structure of Na15Tl4In. The functional is PBE.

ΔE_f in eV/atom: -0.0642
E_tot in eV/atom: -1.664
Fermi-level density of states in states/eV/atom: 0.513
Symmetry: P4/mmm, No. 123

Structure (POSCAR):
```
Na15Tl4In
1.0
4.8596 0.0000 0.0000
0.0000 4.8596 0.0000
0.0000 0.0000 26.0811
Na Tl In
15 4 1
Direct
0.0000 0.0000 0.0000 Na
0.0000 0.0000 0.1996 Na
0.0000 0.0000 0.4000 Na
0.0000 0.0000 0.6000 Na
0.0000 0.0000 0.8004 Na
0.0000 0.5000 0.0992 Na
0.0000 0.5000 0.2999 Na
0.0000 0.5000 0.5000 Na
0.0000 0.5000 0.7001 Na
0.0000 0.5000 0.9008 Na
0.5000 0.0000 0.0992 Na
0.5000 0.0000 0.2999 Na
0.5000 0.0000 0.5000 Na
0.5000 0.0000 0.7001 Na
0.5000 0.0000 0.9008 Na
0.5000 0.5000 0.1995 Tl
0.5000 0.5000 0.3999 Tl
0.5000 0.5000 0.6001 Tl
0.5000 0.5000 0.8005 Tl
0.5000 0.5000 0.0000 In
```

This record from the Alexandria database describes an optimized crystal structure of Nd3Pt. The functional is PBE.

ΔE_f in eV/atom: -0.5543
E_tot in eV/atom: -5.640
Fermi-level density of states in states/eV/atom: 1.264
Symmetry: P4_2/n, No. 86

Structure (POSCAR):
```
Nd3Pt
1.0
12.1112 0.0000 0.0000
0.0000 12.1112 0.0000
0.0000 0.0000 6.4746
Nd Pt
24 8
Direct
0.0354 0.5915 0.2124 Nd
0.0915 0.9646 0.7124 Nd
0.1171 0.1944 0.0191 Nd
0.1204 0.6695 0.7042 Nd
0.1695 0.8796 0.2042 Nd
0.1944 0.3829 0.4809 Nd
0.3056 0.1171 0.4809 Nd
0.3305 0.6204 0.2042 Nd
0.3796 0.8305 0.7042 Nd
0.3829 0.3056 0.0191 Nd
0.4085 0.5354 0.7124 Nd
0.4646 0.9085 0.2124 Nd
0.5354 0.0915 0.7876 Nd
0.5915 0.4646 0.2876 Nd
0.6171 0.6944 0.9809 Nd
0.6204 0.1695 0.2958 Nd
0.6695 0.3796 0.7958 Nd
0.6944 0.8829 0.5191 Nd
0.8056 0.6171 0.5191 Nd
0.8305 0.1204 0.7958 Nd
0.8796 0.3305 0.2958 Nd
0.8829 0.8056 0.9809 Nd
0.9085 0.0354 0.2876 Nd
0.9646 0.4085 0.7876 Nd
0.0608 0.1824 0.5062 Pt
0.1824 0.4392 0.9938 Pt
0.3176 0.0608 0.9938 Pt
0.4392 0.3176 0.5062 Pt
0.5608 0.6824 0.4938 Pt
0.6824 0.9392 0.0062 Pt
0.8176 0.5608 0.0062 Pt
0.9392 0.8176 0.4938 Pt
```

This record from the Alexandria database describes an optimized crystal structure of NdY8Ho5. The functional is PBE.

ΔE_f in eV/atom: 0.2448
E_tot in eV/atom: -5.424
Fermi-level density of states in states/eV/atom: 1.611
Symmetry: I-4, No. 82

Structure (POSCAR):
```
NdY8Ho5
1.0
-4.7601 4.7601 5.1145
4.7601 -4.7601 5.1145
4.7601 4.7601 -5.1145
Nd Y Ho
1 8 5
Direct
0.0000 0.0000 0.0000 Nd
0.0886 0.6766 0.7589 Y
0.2785 0.5284 0.1064 Y
0.3234 0.0823 0.4120 Y
0.4220 0.1721 0.8936 Y
0.4716 0.5780 0.7501 Y
0.6703 0.9114 0.5880 Y
0.8279 0.7215 0.2499 Y
0.9177 0.3297 0.2411 Y
0.0333 0.2118 0.5992 Ho
0.2500 0.7500 0.5000 Ho
0.5659 0.9667 0.1785 Ho
0.6126 0.4341 0.4008 Ho
0.7882 0.3874 0.8215 Ho
```

This record from the Alexandria database describes an optimized crystal structure of Ca2TaTiSe. The functional is PBE.

Formation energy (no corrections) in eV per atom: 0.775
E_tot in eV/atom: -4.672
Fermi-level density of states in states/eV/atom: 0.985
Symmetry: P4/mmm, No. 123

Structure (POSCAR):
```
Ca2TaTiSe
1.0
5.7431 0.0000 0.0000
0.0000 5.7431 0.0000
0.0000 0.0000 4.5304
Ca Ta Ti Se
2 1 1 1
Direct
0.0000 0.5000 0.0000 Ca
0.5000 0.0000 0.0000 Ca
0.0000 0.0000 0.5000 Ta
0.0000 0.0000 0.0000 Ti
0.5000 0.5000 0.5000 Se
```

This record from the Alexandria database describes an optimized crystal structure of Mo2PRu. The functional is PBE.

ΔE_f in eV/atom: -0.1089
E_tot in eV/atom: -9.196
Fermi-level density of states in states/eV/atom: 0.811
Symmetry: P4mm, No. 99

Structure (POSCAR):
```
Mo2PRu
1.0
2.9272 0.0000 0.0000
0.0000 2.9272 0.0000
0.0000 0.0000 6.6787
Mo P Ru
2 1 1
Direct
0.0000 0.0000 0.0000 Mo
0.5000 0.5000 0.2978 Mo
0.0000 0.0000 0.5053 P
0.5000 0.5000 0.7324 Ru
```

This record from the Alexandria database describes an optimized crystal structure of CsDy2Co. The functional is PBE.

ΔE_f in eV/atom: 0.1240
E_tot in eV/atom: -4.167
Fermi-level density of states in states/eV/atom: 0.640
Symmetry: R-3m, No. 166

Structure (POSCAR):
```
CsDy2Co
1.0
1.9815 1.1440 10.6856
-1.9815 1.1440 10.6856
0.0000 -2.2880 10.6856
Cs Dy Co
1 2 1
Direct
0.0000 0.0000 0.0000 Cs
0.1238 0.1238 0.1238 Dy
0.8762 0.8762 0.8762 Dy
0.5000 0.5000 0.5000 Co
```

This record from the Alexandria database describes an optimized crystal structure of Na2IO3. The functional is PBE.

Formation energy (no corrections) in eV per atom: -0.961
E_tot in eV/atom: -4.139
Fermi-level density of states in states/eV/atom: 0.210
Symmetry: C2/c, No. 15

Structure (POSCAR):
```
Na2IO3
1.0
5.7370 -2.4324 0.0000
5.7370 2.4324 0.0000
-3.4649 0.0000 6.4567
Na I O
4 2 6
Direct
0.1736 0.1783 0.0949 Na
0.1783 0.1736 0.5949 Na
0.8217 0.8264 0.4051 Na
0.8264 0.8217 0.9051 Na
0.4967 0.5033 0.2500 I
0.5033 0.4967 0.7500 I
0.1074 0.8926 0.2500 O
0.3472 0.3489 0.4581 O
0.3489 0.3472 0.9581 O
0.6511 0.6528 0.0419 O
0.6528 0.6511 0.5419 O
0.8926 0.1074 0.7500 O
```

This record from the Alexandria database describes an optimized crystal structure of Ac2MgCdRu. The functional is PBE.

ΔE_f in eV/atom: -0.2079
E_tot in eV/atom: -4.208
Fermi-level density of states in states/eV/atom: 0.884
Symmetry: P2_1/m, No. 11

Structure (POSCAR):
```
Ac2MgCdRu
1.0
8.4827 0.0000 0.0000
0.0000 4.3710 0.0000
-2.8589 0.0000 8.0014
Ac Mg Cd Ru
4 2 2 2
Direct
0.0294 0.2500 0.2314 Ac
0.3357 0.7500 0.6002 Ac
0.6643 0.2500 0.3998 Ac
0.9706 0.7500 0.7686 Ac
0.3398 0.2500 0.9326 Mg
0.6602 0.7500 0.0674 Mg
0.3345 0.7500 0.1722 Cd
0.6655 0.2500 0.8278 Cd
0.1014 0.2500 0.6182 Ru
0.8986 0.7500 0.3818 Ru
```

This record from the Alexandria database describes an optimized crystal structure of TiReB3. The functional is PBE.

E above lowest polymorph in meV per atom: 1026
ΔE_f in eV/atom: 1.7477
E_tot in eV/atom: -6.327
Fermi-level density of states in states/eV/atom: 0.777
Symmetry: Pm-3m, No. 221

Structure (POSCAR):
```
TiReB3
1.0
3.8687 0.0000 0.0000
0.0000 3.8687 0.0000
0.0000 0.0000 3.8687
Ti Re B
1 1 3
Direct
0.0000 0.0000 0.0000 Ti
0.5000 0.5000 0.5000 Re
0.0000 0.0000 0.5000 B
0.0000 0.5000 0.0000 B
0.5000 0.0000 0.0000 B
```

This record from the Alexandria database describes an optimized crystal structure of Sc2TiMo. The functional is PBE.

E above lowest polymorph in meV per atom: 322
ΔE_f in eV/atom: 0.5843
E_tot in eV/atom: -7.263
Fermi-level density of states in states/eV/atom: 1.540
Symmetry: I-42d, No. 122

Structure (POSCAR):
```
Sc2TiMo
1.0
-3.7284 3.7284 2.8631
3.7284 -3.7284 2.8631
3.7284 3.7284 -2.8631
Sc Ti Mo
4 2 2
Direct
0.1142 0.1250 0.4892 Sc
0.3750 0.8858 0.0108 Sc
0.6358 0.6250 0.5108 Sc
0.8750 0.3642 0.9892 Sc
0.2500 0.7500 0.5000 Ti
0.5000 0.5000 0.0000 Ti
0.0000 0.0000 0.0000 Mo
0.7500 0.2500 0.5000 Mo
```

This record from the Alexandria database describes an optimized crystal structure of BaCaIr. The functional is PBE.

E above lowest polymorph in meV per atom: 814
ΔE_f in eV/atom: 0.6567
E_tot in eV/atom: -3.605
Fermi-level density of states in states/eV/atom: 1.001
Symmetry: F-43m, No. 216

Structure (POSCAR):
```
BaCaIr
1.0
0.0000 3.5707 3.5707
3.5707 0.0000 3.5707
3.5707 3.5707 0.0000
Ba Ca Ir
1 1 1
Direct
0.0000 0.0000 0.0000 Ba
0.2500 0.2500 0.2500 Ca
0.7500 0.7500 0.7500 Ir
```